Record 1
DFT (PBE-GGA) results for Zr4TaMo after structural relaxation.

```
Zr4TaMo
1.0
2.153 -5.185 -0.264
0.929 -2.901 4.724
-3.210 -4.442 1.248
Zr Mo Ta
4 1 1
direct
0.375 0.875 0.375
0.375 0.375 0.375
0.875 0.375 0.375
0.375 0.375 0.875
0.750 0.750 0.750
0.000 0.000 0.000
```

Properties
Formation energy: 609 meV per atom
Space-group type: No. 216

Record 2
DFT (PBE-GGA) results for Ce2PuThP4 after structural relaxation.

```
Ce2PuThP4
1.0
4.093 0.000 0.000
0.000 7.090 -0.137
0.000 2.498 6.620
P Ce Th Pu
4 2 1 1
direct
0.500 0.249 0.754
0.000 0.253 0.245
0.500 0.751 0.246
0.000 0.747 0.755
0.500 0.000 0.500
0.000 0.000 0.000
0.000 0.500 0.500
0.500 0.500 0.000
```

Properties
Formation energy: -1440 meV per atom
Space-group type: No. 10

Record 3
DFT (PBE-GGA) results for TbCePuO6 after structural relaxation.

```
TbCePuO6
1.0
5.781 0.000 0.000
-2.890 5.006 0.000
0.000 0.000 9.469
O Pu Tb Ce
12 2 2 2
direct
0.022 0.350 0.632
0.328 0.350 0.868
0.650 0.978 0.868
0.978 0.328 0.132
0.022 0.672 0.868
0.672 0.022 0.368
0.672 0.650 0.132
0.328 0.978 0.632
0.350 0.022 0.132
0.978 0.650 0.368
0.350 0.328 0.368
0.650 0.672 0.632
0.667 0.333 0.250
0.333 0.667 0.750
0.333 0.667 0.250
0.667 0.333 0.750
0.000 0.000 0.500
0.000 0.000 0.000
```

Properties
Space-group type: No. 163
Formation energy (no corrections): -3100 meV per atom

Record 4
DFT (PBE-GGA) results for Zn2Ge3O8 after structural relaxation.

```
Zn2Ge3O8
1.0
-3.780 7.258 -1.644
-1.546 -2.570 -7.789
-7.279 -3.223 2.508
Ge O Zn
12 32 8
direct
0.879 0.125 0.371
0.375 0.629 0.379
0.621 0.875 0.871
0.379 0.375 0.629
0.125 0.371 0.879
0.875 0.871 0.621
0.129 0.121 0.625
0.121 0.625 0.129
0.629 0.379 0.375
0.871 0.621 0.875
0.371 0.879 0.125
0.625 0.129 0.121
0.140 0.396 0.098
0.138 0.362 0.638
0.638 0.138 0.362
0.362 0.638 0.138
0.402 0.860 0.896
0.888 0.112 0.612
0.598 0.360 0.604
0.390 0.848 0.354
0.890 0.652 0.646
0.612 0.888 0.112
0.896 0.402 0.860
0.604 0.598 0.360
0.112 0.612 0.888
0.110 0.152 0.854
0.388 0.388 0.388
0.860 0.896 0.402
0.396 0.098 0.140
0.360 0.604 0.598
0.348 0.146 0.610
0.902 0.640 0.104
0.146 0.610 0.348
0.098 0.140 0.396
0.652 0.646 0.890
0.152 0.854 0.110
0.862 0.862 0.862
0.610 0.348 0.146
0.646 0.890 0.652
0.854 0.110 0.152
0.104 0.902 0.640
0.354 0.390 0.848
0.848 0.354 0.390
0.640 0.104 0.902
0.502 0.498 0.998
0.002 0.002 0.002
0.248 0.248 0.248
0.748 0.252 0.752
0.498 0.998 0.502
0.998 0.502 0.498
0.752 0.748 0.252
0.252 0.752 0.748
```

Properties
Space-group type: No. 212
Formation energy (no corrections): -1585 meV per atom
Energy relative to the lowest polymorph listed for this composition: 0 meV/atom

Record 5
DFT (PBE-GGA) results for Pm12PuRu7 after structural relaxation.

```
Pm12PuRu7
1.0
8.990 -0.248 -0.373
-2.738 8.566 -0.373
-2.738 -3.643 7.762
Pm Ru Pu
12 7 1
direct
0.344 0.423 0.133
0.423 0.133 0.344
0.755 0.903 0.340
0.577 0.867 0.656
0.656 0.577 0.867
0.133 0.344 0.423
0.660 0.245 0.097
0.903 0.340 0.755
0.340 0.755 0.903
0.097 0.660 0.245
0.245 0.097 0.660
0.867 0.656 0.577
0.277 0.050 0.959
0.950 0.041 0.723
0.959 0.277 0.050
0.723 0.950 0.041
0.050 0.959 0.277
0.500 0.500 0.500
0.041 0.723 0.950
0.000 0.000 0.000
```

Properties
Formation energy: -164 meV per atom
Space-group type: No. 148

Record 6
DFT (PBE-GGA) results for LuTcC after structural relaxation.

```
LuTcC
1.0
4.406 0.000 0.000
0.000 3.504 0.000
0.000 -1.752 3.035
Tc C Lu
1 1 1
direct
0.174 0.333 0.667
0.119 0.000 0.000
0.707 0.667 0.333
```

Properties
Formation energy: -35 meV per atom
Space-group type: No. 156

Number 1: electronic total energy -8.87 eV per atom, spin magnetization 0.00 Bohr magnetons per cell. Number 2: electronic total energy -8.35 eV per atom, spin magnetization 6.46 Bohr magnetons per cell. Number 3: electronic total energy -9.17 eV per atom, spin magnetization 6.08 Bohr magnetons per cell. Number 4: electronic total energy -5.90 eV per atom, spin magnetization 0.00 Bohr magnetons per cell. Number 5: electronic total energy -6.98 eV per atom, spin magnetization 2.84 Bohr magnetons per cell. Number 6: electronic total energy -8.07 eV per atom, spin magnetization 0.00 Bohr magnetons per cell.